DFT (PBE with a Hubbard U) results for a relaxed structure of LiCoOF2.

Results
* total magnetic moment: 4.000 μB per formula unit
* VASP energy: -5.0721 eV per atom

a b c (Å): 6.6232 6.6232 6.1427
angles (deg): 72.38 72.38 68.59
Positions (direct):
F 0.7820 0.0438 0.1325
F 0.0438 0.7820 0.6325
F 0.9809 0.3578 0.7439
Li 0.6923 0.3077 0.2500
F 0.2180 0.9562 0.8675
F 0.6422 0.0191 0.7561
F 0.3578 0.9809 0.2439
Co 0.3227 0.2123 0.7685
F 0.0191 0.6422 0.2561
O 0.3115 0.3916 0.9370
O 0.6885 0.6084 0.0630
Li 0.9066 0.0934 0.7500
Co 0.7877 0.6773 0.7315
Co 0.6773 0.7877 0.2315
Co 0.2123 0.3227 0.2685
Li 0.0934 0.9066 0.2500
F 0.9562 0.2180 0.3675
O 0.3916 0.3115 0.4370
Li 0.3077 0.6923 0.7500
O 0.6084 0.6885 0.5630